CrPb2: optimized geometry, PBE.

Cell and atoms, written as POSCAR:
```
CrPb2
1.0
1.728 6.705 -0.826
-1.728 6.705 -0.826
0.000 0.845 6.726
Cr Pb
2 4
Cartesian
0.000 6.916 0.854
0.000 7.340 4.219
0.000 2.699 6.492
0.000 11.982 1.944
0.000 2.274 3.129
0.000 11.558 -1.419
```

Output
As for the total energy: -15.8 eV per formula unit. As for the crystal system: monoclinic. As for the space group: C2/m, No. 12. As for the energy of formation from the pure elements: 0.42 eV/atom.